Record 1
Compound: LaPr4
Source: Alexandria via LeMat-Bulk
Functional: GGA-PBE
Structure: optimized geometry

Cell: 3.7256 5.2712 9.8343 Å, 105.55 100.92 90.00°
Fractional positions:
1 La 0.0000 0.0000 0.0000
2 Pr 0.6006 0.6006 0.2012
3 Pr 0.1998 0.1998 0.3996
4 Pr 0.8002 0.8002 0.6004
5 Pr 0.3994 0.3994 0.7988

DOS at the Fermi energy   8.2 states/eV/cell
Space-group type   No. 71
Magnetic moment   0.00 μB/cell
Formation enthalpy at 0 K   1 kJ/mol of atoms

Record 2
Compound: MoPtSN2
Source: Alexandria via LeMat-Bulk
Functional: GGA-PBE
Structure: optimized geometry

Cell: 3.8243 3.8243 5.2069 Å, 90.00 90.00 90.00°
Last column: magnetic moment on the atom in μB.
Fractional positions:
1 Mo 0.0000 0.0000 0.0000  -0.15
2 S 0.0000 0.0000 0.5000  0.03
3 Pt 0.5000 0.5000 0.5000  0.26
4 N 0.0000 0.5000 0.0000  0.21
5 N 0.5000 0.0000 0.0000  0.21

DOS at the Fermi energy   3.5 states/eV/cell
Space-group type   No. 123
Raw formation energy   3.80 eV/f.u.
Magnetic moment   0.72 μB/cell

Record 3
Compound: CoMo3
Source: Alexandria via LeMat-Bulk
Functional: GGA-PBE
Structure: optimized geometry

Cell: 8.3014 8.3014 8.3014 Å, 153.13 153.13 38.36°
Last column: magnetic moment on the atom in μB.
Fractional positions:
1 Co 0.3732 0.3732 0.0000  0.14
2 Co 0.6268 0.6268 0.0000  0.14
3 Mo 0.5000 0.0000 0.5000  0.00
4 Mo 0.1213 0.1213 0.0000  0.00
5 Mo 0.8787 0.8787 0.0000  0.00
6 Mo 0.7500 0.2500 0.5000  -0.01
7 Mo 0.2500 0.7500 0.5000  -0.01
8 Mo 0.0000 0.5000 0.5000  0.00

DOS at the Fermi energy   10.3 states/eV/cell
Space-group type   No. 139
Magnetic moment   0.27 μB/cell
Formation enthalpy at 0 K   20 kJ/mol of atoms

Record 4
Compound: P2HOs2
Source: Alexandria via LeMat-Bulk
Functional: GGA-PBE
Structure: optimized geometry

Cell: 4.0725 4.0725 5.2680 Å, 67.26 67.26 90.00°
Last column: magnetic moment on the atom in μB.
Fractional positions:
1 P 0.3737 0.3737 0.2525  0.01
2 P 0.6263 0.6263 0.7475  0.01
3 Os 0.7500 0.2500 0.5000  0.15
4 Os 0.2500 0.7500 0.5000  0.15
5 H 0.0000 0.0000 0.0000  0.25

DOS at the Fermi energy   1.4 states/eV/cell
E   -7.027 eV/atom
Space-group type   No. 139
Magnetic moment   0.89 μB/cell

Record 5
Compound: Ac2La3Dy3
Source: Alexandria via LeMat-Bulk
Functional: GGA-PBE
Structure: optimized geometry

Cell: 3.6862 11.3611 14.4955 Å, 90.00 90.00 99.34°
Fractional positions:
1 Ac 0.7603 0.5205 0.6214
2 Ac 0.2397 0.4795 0.1214
3 Ac 0.7603 0.5205 0.8786
4 Ac 0.2397 0.4795 0.3786
5 La 0.6138 0.2277 0.9992
6 La 0.3862 0.7723 0.4992
7 La 0.6138 0.2277 0.5008
8 La 0.3862 0.7723 0.0008
9 La 0.3894 0.7788 0.2500
10 La 0.6106 0.2212 0.7500
11 Dy 0.0038 0.0075 0.1272
12 Dy 0.9962 0.9925 0.6272
13 Dy 0.0038 0.0075 0.3728
14 Dy 0.9962 0.9925 0.8728
15 Dy 0.6142 0.2284 0.2500
16 Dy 0.3858 0.7716 0.7500

DOS at the Fermi energy   27.9 states/eV/cell
Space-group type   No. 63
Magnetic moment   0.00 μB/cell
Formation enthalpy at 0 K   11 kJ/mol of atoms

Record 6
Compound: AcLuMg2
Source: Alexandria via LeMat-Bulk
Functional: GGA-PBE
Structure: optimized geometry

Cell: 3.8673 3.8673 8.1064 Å, 90.00 90.00 90.00°
Fractional positions:
1 Ac 0.5000 0.5000 0.5000
2 Lu 0.5000 0.5000 0.0000
3 Mg 0.0000 0.0000 0.7860
4 Mg 0.0000 0.0000 0.2140

DOS at the Fermi energy   4.8 states/eV/cell
Space-group type   No. 123
Magnetic moment   0.00 μB/cell
Formation enthalpy at 0 K   -3 kJ/mol of atoms

Record 7
Compound: BaBeRhF2
Source: Alexandria via LeMat-Bulk
Functional: GGA-PBE
Structure: optimized geometry

Cell: 3.7396 8.7011 3.7396 Å, 90.00 90.00 90.00°
Fractional positions:
1 Be 0.0000 0.0000 0.0000
2 Rh 0.5000 0.5000 0.5000
3 Ba 0.0000 0.5000 0.0000
4 F 0.0000 0.0000 0.5000
5 F 0.5000 0.0000 0.0000

DOS at the Fermi energy   1.1 states/eV/cell
Space-group type   No. 123
Raw formation energy   -4.81 eV/f.u.
Magnetic moment   0.00 μB/cell

Record 8
Compound: SrMg2Ir
Source: Alexandria via LeMat-Bulk
Functional: GGA-PBE
Structure: optimized geometry

Cell: 4.9429 4.9429 4.9429 Å, 60.00 60.00 60.00°
Fractional positions:
1 Sr 0.0000 0.0000 0.0000
2 Mg 0.2500 0.2500 0.2500
3 Mg 0.7500 0.7500 0.7500
4 Ir 0.5000 0.5000 0.5000

DOS at the Fermi energy   5.5 states/eV/cell
Space-group type   No. 225
Magnetic moment   0.00 μB/cell
Formation enthalpy at 0 K   0 kJ/mol of atoms

Record 9
Compound: Pm2Nd3Dy6
Source: Alexandria via LeMat-Bulk
Functional: GGA-PBE
Structure: optimized geometry

Cell: 4.7877 4.7877 16.9853 Å, 98.10 98.10 90.00°
Fractional positions:
1 Pm 0.4539 0.4539 0.9079
2 Pm 0.5461 0.5461 0.0921
3 Nd 0.0000 0.0000 0.0000
4 Nd 0.7966 0.7966 0.5933
5 Nd 0.2034 0.2034 0.4067
6 Dy 0.1206 0.6206 0.2412
7 Dy 0.6206 0.1206 0.2412
8 Dy 0.8794 0.3794 0.7588
9 Dy 0.3794 0.8794 0.7588
10 Dy 0.6932 0.6932 0.3864
11 Dy 0.3068 0.3068 0.6136

DOS at the Fermi energy   15.5 states/eV/cell
Space-group type   No. 139
Magnetic moment   0.00 μB/cell
Formation enthalpy at 0 K   25 kJ/mol of atoms

Record 10
Compound: Sm3AlGa2Pt9
Source: Alexandria via LeMat-Bulk
Functional: GGA-PBE
Structure: optimized geometry

Cell: 6.4199 6.4199 9.1825 Å, 90.00 90.00 120.00°
Fractional positions:
1 Sm 0.3333 0.6667 0.7311
2 Sm 0.0000 0.0000 0.0000
3 Sm 0.6667 0.3333 0.2689
4 Al 0.0000 0.0000 0.5000
5 Ga 0.3333 0.6667 0.1818
6 Ga 0.6667 0.3333 0.8182
7 Pt 0.8610 0.1390 0.7141
8 Pt 0.8610 0.7219 0.7141
9 Pt 0.2781 0.1390 0.7141
10 Pt 0.7219 0.8610 0.2859
11 Pt 0.1390 0.2781 0.2859
12 Pt 0.1390 0.8610 0.2859
13 Pt 0.5000 0.0000 0.0000
14 Pt 0.0000 0.5000 0.0000
15 Pt 0.5000 0.5000 0.0000

DOS at the Fermi energy   6.2 states/eV/cell
Space-group type   No. 164
Magnetic moment   0.00 μB/cell
Formation enthalpy at 0 K   -63 kJ/mol of atoms

Record 11
Compound: Tb4Mg5In2
Source: Alexandria via LeMat-Bulk
Functional: GGA-PBE
Structure: optimized geometry

Cell: 3.5070 8.1074 10.5003 Å, 94.19 90.00 90.00°
Fractional positions:
1 Tb 0.5000 0.7215 0.5560
2 Tb 0.5000 0.1582 0.8862
3 Tb 0.5000 0.2785 0.4440
4 Tb 0.5000 0.8418 0.1138
5 Mg 0.0000 0.5685 0.2924
6 Mg 0.0000 0.1981 0.1660
7 Mg 0.0000 0.5000 0.0000
8 Mg 0.0000 0.8019 0.8340
9 Mg 0.0000 0.4315 0.7076
10 In 0.0000 0.0589 0.6368
11 In 0.0000 0.9411 0.3632

DOS at the Fermi energy   9.6 states/eV/cell
Space-group type   No. 10
Magnetic moment   0.00 μB/cell
Formation enthalpy at 0 K   -15 kJ/mol of atoms

Record 12
Compound: Ag3Pd5F12
Source: Alexandria via LeMat-Bulk
Functional: GGA-PBE
Structure: optimized geometry

Cell: 12.2369 12.2369 12.2369 Å, 109.47 109.47 109.47°
Last column: magnetic moment on the atom in μB.
Fractional positions:
1 Ag 0.7500 0.3750 0.1250  -0.01
2 Ag 0.8750 0.7500 0.1250  -0.01
3 Ag 0.3750 0.7500 0.6250  -0.01
4 Ag 0.2500 0.1250 0.3750  -0.01
5 Ag 0.8750 0.1250 0.2500  -0.01
6 Ag 0.3750 0.6250 0.2500  -0.01
7 Ag 0.6250 0.3750 0.7500  -0.01
8 Ag 0.1250 0.8750 0.7500  -0.01
9 Ag 0.7500 0.8750 0.6250  -0.01
10 Ag 0.6250 0.2500 0.3750  -0.01
11 Ag 0.1250 0.2500 0.8750  -0.01
12 Ag 0.2500 0.6250 0.8750  -0.01
13 Pd 0.1250 0.3750 0.2500  1.00
14 Pd 0.0000 0.5000 0.0000  -1.04
15 Pd 0.0000 0.0000 0.0000  -1.04
16 Pd 0.3750 0.2500 0.1250  1.00
17 Pd 0.5000 0.0000 0.5000  -1.04
18 Pd 0.5000 0.5000 0.0000  -1.04
19 Pd 0.1250 0.7500 0.3750  1.00
20 Pd 0.7500 0.1250 0.8750  1.00
21 Pd 0.7500 0.6250 0.3750  1.00
22 Pd 0.3750 0.1250 0.7500  1.00
23 Pd 0.6250 0.8750 0.2500  1.00
24 Pd 0.5000 0.5000 0.5000  -1.04
25 Pd 0.5000 0.0000 0.0000  -1.04
26 Pd 0.0000 0.0000 0.5000  -1.04
27 Pd 0.2500 0.3750 0.6250  1.00
28 Pd 0.2500 0.8750 0.1250  1.00
29 Pd 0.0000 0.5000 0.5000  -1.04
30 Pd 0.8750 0.2500 0.6250  1.00
31 Pd 0.6250 0.7500 0.8750  1.00
32 Pd 0.8750 0.6250 0.7500  1.00
33 F 0.6729 0.1388 0.0122  0.01
34 F 0.3392 0.5122 0.3733  0.01
35 F 0.9878 0.3612 0.3271  0.01
36 F 0.5122 0.1729 0.1388  0.01
37 F 0.5341 0.6729 0.6608  0.01
38 F 0.9878 0.6267 0.1608  0.01
39 F 0.3392 0.8271 0.4659  0.01
40 F 0.1267 0.9659 0.1388  0.01
41 F 0.6267 0.9878 0.6608  0.01
42 F 0.6729 0.5341 0.1608  0.01
43 F 0.8271 0.4878 0.3612  0.01
44 F 0.8392 0.8733 0.0122  0.01
45 F 0.1388 0.6729 0.5122  0.01
46 F 0.3612 0.3733 0.0341  0.01
47 F 0.0341 0.8733 0.3612  0.01
48 F 0.4659 0.1388 0.6267  0.01
49 F 0.0341 0.1608 0.1729  0.01
50 F 0.4878 0.6608 0.1267  0.01
51 F 0.8392 0.9659 0.3271  0.01
52 F 0.1388 0.4659 0.1267  0.01
53 F 0.3612 0.9878 0.8271  0.01
54 F 0.6267 0.6388 0.4659  0.01
55 F 0.8733 0.8392 0.5122  0.01
56 F 0.8271 0.3392 0.9659  0.01
57 F 0.3733 0.3612 0.5341  0.01
58 F 0.1267 0.1608 0.4878  0.01
59 F 0.1729 0.6608 0.0341  0.01
60 F 0.1608 0.0341 0.6729  0.01
61 F 0.6388 0.0122 0.1729  0.01
62 F 0.8612 0.5341 0.8733  0.01
63 F 0.5122 0.3392 0.8733  0.01
64 F 0.5341 0.8612 0.3733  0.01
65 F 0.9659 0.8392 0.8271  0.01
66 F 0.9659 0.1267 0.6388  0.01
67 F 0.8612 0.3271 0.4878  0.01
68 F 0.1608 0.1267 0.9878  0.01
69 F 0.6388 0.6267 0.9659  0.01
70 F 0.3733 0.0122 0.3392  0.01
71 F 0.3271 0.4659 0.8392  0.01
72 F 0.1729 0.5122 0.6388  0.01
73 F 0.8733 0.0341 0.8612  0.01
74 F 0.6608 0.1729 0.5341  0.01
75 F 0.4878 0.8271 0.8612  0.01
76 F 0.0122 0.3733 0.8392  0.01
77 F 0.4659 0.3271 0.3392  0.01
78 F 0.0122 0.6388 0.6729  0.01
79 F 0.6608 0.4878 0.6267  0.01
80 F 0.3271 0.8612 0.9878  0.01

DOS at the Fermi energy   28.1 states/eV/cell
Space-group type   No. 230
Raw formation energy   -18.13 eV/f.u.
Magnetic moment   3.96 μB/cell

Record 13
Compound: EuZrTlCd
Source: Alexandria via LeMat-Bulk
Functional: GGA-PBE
Structure: optimized geometry

Cell: 5.2809 5.2809 5.2809 Å, 60.00 60.00 60.00°
Last column: magnetic moment on the atom in μB.
Fractional positions:
1 Eu 0.0000 0.0000 0.0000  -6.86
2 Tl 0.7500 0.7500 0.7500  0.02
3 Zr 0.5000 0.5000 0.5000  -0.53
4 Cd 0.2500 0.2500 0.2500  -0.02

DOS at the Fermi energy   1.8 states/eV/cell
Space-group type   No. 216
Magnetic moment   8.05 μB/cell
Formation enthalpy at 0 K   -8 kJ/mol of atoms

Record 14
Compound: NaCd2Sb
Source: Alexandria via LeMat-Bulk
Functional: GGA-PBE
Structure: optimized geometry

Cell: 4.5961 4.5961 10.8854 Å, 77.81 77.81 90.00°
Fractional positions:
1 Sb 0.0000 0.0000 0.0000
2 Sb 0.7500 0.2500 0.5000
3 Na 0.5000 0.5000 0.0000
4 Na 0.2500 0.7500 0.5000
5 Cd 0.6312 0.1250 0.2500
6 Cd 0.1188 0.6250 0.2500
7 Cd 0.3750 0.3688 0.7500
8 Cd 0.8750 0.8812 0.7500

DOS at the Fermi energy   4.0 states/eV/cell
Space-group type   No. 122
Raw formation energy   -0.04 eV/f.u.
Magnetic moment   0.00 μB/cell

Record 15
Compound: CsTaIn2
Source: Alexandria via LeMat-Bulk
Functional: GGA-PBE
Structure: optimized geometry

Cell: 5.5058 5.5058 5.5058 Å, 60.00 60.00 60.00°
Last column: magnetic moment on the atom in μB.
Fractional positions:
1 Cs 0.0000 0.0000 0.0000  0.05
2 In 0.2500 0.2500 0.2500  0.00
3 In 0.7500 0.7500 0.7500  0.00
4 Ta 0.5000 0.5000 0.5000  1.37

DOS at the Fermi energy   4.2 states/eV/cell
Space-group type   No. 225
Magnetic moment   2.32 μB/cell
Formation enthalpy at 0 K   106 kJ/mol of atoms

Record 16
Compound: Ce2SbO2
Source: Alexandria via LeMat-Bulk
Functional: GGA-PBE
Structure: optimized geometry

Cell: 7.3049 6.5974 6.2991 Å, 71.27 54.56 56.39°
Last column: magnetic moment on the atom in μB.
Fractional positions:
1 Ce 0.5603 0.7500 0.8794  0.56
2 Ce 0.8103 0.2500 0.3794  0.56
3 Ce 0.4397 0.2500 0.1206  0.56
4 Ce 0.1897 0.7500 0.6206  0.56
5 Sb 0.8750 0.7500 0.2500  -0.05
6 Sb 0.1250 0.2500 0.7500  -0.05
7 O 0.5035 0.4929 0.2500  -0.03
8 O 0.7535 0.9929 0.7500  -0.03
9 O 0.2465 0.0071 0.2500  -0.03
10 O 0.4964 0.5071 0.7500  -0.03

DOS at the Fermi energy   18.7 states/eV/cell
Space-group type   No. 70
Raw formation energy   -12.79 eV/f.u.
Magnetic moment   2.10 μB/cell

Record 17
Compound: AlAu3
Source: Alexandria via LeMat-Bulk
Functional: GGA-PBE
Structure: optimized geometry

Cell: 6.9502 5.3814 7.7214 Å, 90.00 90.00 90.00°
Fractional positions:
1 Al 0.5687 0.8206 0.7500
2 Al 0.0687 0.6794 0.2500
3 Al 0.9313 0.3206 0.7500
4 Al 0.4313 0.1794 0.2500
5 Au 0.1748 0.9596 0.7500
6 Au 0.6748 0.5404 0.2500
7 Au 0.3252 0.4596 0.7500
8 Au 0.8252 0.0404 0.2500
9 Au 0.6295 0.2126 0.9413
10 Au 0.1295 0.2874 0.0587
11 Au 0.8705 0.7126 0.5587
12 Au 0.3705 0.7874 0.4413
13 Au 0.3705 0.7874 0.0587
14 Au 0.8705 0.7126 0.9413
15 Au 0.1295 0.2874 0.4413
16 Au 0.6295 0.2126 0.5587

DOS at the Fermi energy   4.4 states/eV/cell
Space-group type   No. 62
Magnetic moment   0.00 μB/cell
Formation enthalpy at 0 K   -22 kJ/mol of atoms

Record 18
Compound: Os2Br
Source: Alexandria via LeMat-Bulk
Functional: GGA-PBE
Structure: optimized geometry

Cell: 4.6355 4.6355 10.7538 Å, 86.86 86.86 36.53°
Fractional positions:
1 Os 0.5868 0.5868 0.8441
2 Os 0.1332 0.1332 0.0378
3 Os 0.8668 0.8668 0.9622
4 Os 0.4132 0.4132 0.1559
5 Br 0.8842 0.8842 0.3525
6 Br 0.1158 0.1158 0.6475

DOS at the Fermi energy   5.0 states/eV/cell
Space-group type   No. 12
Raw formation energy   1.69 eV/f.u.
Magnetic moment   0.00 μB/cell

Record 19
Compound: UPdPt2
Source: Alexandria via LeMat-Bulk
Functional: GGA-PBE
Structure: optimized geometry

Cell: 4.6956 4.6956 4.6956 Å, 60.00 60.00 60.00°
Last column: magnetic moment on the atom in μB.
Fractional positions:
1 U 0.0000 0.0000 0.0000  1.45
2 Pd 0.5000 0.5000 0.5000  -0.01
3 Pt 0.2500 0.2500 0.2500  -0.09
4 Pt 0.7500 0.7500 0.7500  -0.09

DOS at the Fermi energy   4.5 states/eV/cell
Space-group type   No. 225
Magnetic moment   1.36 μB/cell
Formation enthalpy at 0 K   -53 kJ/mol of atoms

Record 20
Compound: Rb2ZrI5Br
Source: Alexandria via LeMat-Bulk
Functional: GGA-PBE
Structure: optimized geometry

Cell: 8.2284 8.2284 8.2284 Å, 92.18 118.75 118.75°
Fractional positions:
1 Rb 0.5000 0.2482 0.7482
2 Rb 0.5000 0.7482 0.2482
3 Zr 0.0000 0.9947 0.9947
4 I 0.4879 0.2431 0.2431
5 I 0.5121 0.7552 0.7552
6 I 0.0000 0.7552 0.2431
7 I 0.0000 0.2431 0.7552
8 I 0.0000 0.2472 0.2472
9 Br 0.0000 0.7651 0.7651

DOS at the Fermi energy   0.0 states/eV/cell
Space-group type   No. 107
Raw formation energy   -11.33 eV/f.u.
Magnetic moment   0.00 μB/cell